No. 1
TbCePr4 after structural relaxation, computed with GGA-PBE.

abc: 10.9858 6.3313 6.3358
angles: 70.67 90.00 90.00
Atoms (fractional coordinates):
Tb 0.5000 0.0000 0.5000
Tb 0.0000 0.0000 0.0000
Ce 0.0000 0.5000 0.5000
Ce 0.5000 0.5000 0.0000
Pr 0.6634 0.0001 0.0002
Pr 0.8366 0.0001 0.5002
Pr 0.3349 0.5001 0.4997
Pr 0.8349 0.4999 0.0003
Pr 0.1651 0.5001 0.9997
Pr 0.6651 0.4999 0.5003
Pr 0.1634 0.9999 0.4998
Pr 0.3366 0.9999 0.9998

Values from the calculation:
* energy of formation from the pure elements: 0.064 eV per atom
* mass density: 6.89 Mg/m³
* M_tot: 2.3 Bohr magnetons per cell

=====

No. 2
HoEr3Th5 after structural relaxation, computed with GGA-PBE.

abc: 9.1834 9.1834 9.6075
angles: 118.55 118.55 90.00
Atoms (fractional coordinates):
Ho 0.7500 0.2500 0.5000
Ho 0.2500 0.7500 0.5000
Er 0.6041 0.1041 0.0000
Er 0.3959 0.8959 0.0000
Er 0.8959 0.6041 0.0000
Er 0.1041 0.3959 0.0000
Er 0.2500 0.2500 0.5000
Er 0.7500 0.7500 0.5000
Th 0.0807 0.5807 0.7469
Th 0.6662 0.1662 0.7469
Th 0.1662 0.0807 0.7469
Th 0.5807 0.6662 0.7469
Th 0.9193 0.4193 0.2531
Th 0.3338 0.8338 0.2531
Th 0.8338 0.9193 0.2531
Th 0.4193 0.3338 0.2531
Th 0.5000 0.5000 0.0000
Th 0.0000 0.0000 0.0000

Values from the calculation:
* energy of formation from the pure elements: 0.453 eV per atom
* mass density: 10.16 Mg/m³
* M_tot: 0.0 Bohr magnetons per cell

=====

No. 3
MgV after structural relaxation, computed with GGA-PBE.

abc: 8.4590 8.4590 8.4590
angles: 90.00 90.00 90.00
Atoms (fractional coordinates):
Mg 0.2054 0.2054 0.2054
Mg 0.2054 0.7946 0.7946
Mg 0.7946 0.2054 0.7946
Mg 0.7946 0.7946 0.2054
Mg 0.7054 0.7054 0.7054
Mg 0.7054 0.2946 0.2946
Mg 0.2946 0.7054 0.2946
Mg 0.2946 0.2946 0.7054
V 0.4046 0.4046 0.4046
V 0.4046 0.5954 0.5954
V 0.5954 0.4046 0.5954
V 0.5954 0.5954 0.4046
V 0.9046 0.9046 0.9046
V 0.9046 0.0954 0.0954
V 0.0954 0.9046 0.0954
V 0.0954 0.0954 0.9046

Values from the calculation:
* energy of formation from the pure elements: 1.282 eV per atom
* mass density: 1.65 Mg/m³
* M_tot: 0.0 Bohr magnetons per cell

=====

What did we get for DOS(E_F)? Answer: 2.257, 1.780, 1.131 states/eV per atom, in the order shown.